1.
A geometry-optimized Ba5Ag structure. Source: Alexandria, functional PBE.

```
data_Ba5Ag
_symmetry_space_group_name_H-M 'P 1'
_symmetry_Int_Tables_number 1
_cell_length_a 7.961
_cell_length_b 7.961
_cell_length_c 7.961
_cell_angle_alpha 60.00
_cell_angle_beta 60.00
_cell_angle_gamma 60.00
loop_
_symmetry_equiv_pos_as_xyz
'x,y,z'
loop_
_atom_site_label
_atom_site_fract_x
_atom_site_fract_y
_atom_site_fract_z
_atom_site_occupancy
Ba1 0.625 0.625 0.124 1
Ba2 0.124 0.625 0.625 1
Ba3 0.250 0.250 0.250 1
Ba4 0.625 0.124 0.625 1
Ba5 0.625 0.625 0.625 1
Ag1 0.000 0.000 0.000 1
```

Values from the calculation:
Calculated total energy ... -1.72 eV per atom
Total moment ... 0.002 μB per formula unit
Density ... 3697 kg/m³
Energy relative to the elements ... 0.361 eV per atom
Relative energy among the computed polymorphs ... 246 kJ/mol of formula units

***

2.
A geometry-optimized Hf2ScTaC4 structure. Source: Alexandria, functional PBE.

```
data_Hf2ScTaC4
_symmetry_space_group_name_H-M 'P 1'
_symmetry_Int_Tables_number 1
_cell_length_a 3.251
_cell_length_b 5.638
_cell_length_c 5.614
_cell_angle_alpha 109.27
_cell_angle_beta 90.00
_cell_angle_gamma 90.00
loop_
_symmetry_equiv_pos_as_xyz
'x,y,z'
loop_
_atom_site_label
_atom_site_fract_x
_atom_site_fract_y
_atom_site_fract_z
_atom_site_occupancy
Hf1 0.500 0.000 0.500 1
Hf2 0.000 0.500 0.500 1
C1 0.500 0.758 0.756 1
C2 0.000 0.758 0.249 1
C3 0.000 0.242 0.751 1
C4 0.500 0.242 0.244 1
Sc1 0.500 0.500 0.000 1
Ta1 0.000 0.000 0.000 1
```

Values from the calculation:
Calculated total energy ... -10.17 eV per atom
Total moment ... 0.000 μB per formula unit
Density ... 10786 kg/m³
Energy relative to the elements ... -0.792 eV per atom

***

3.
A geometry-optimized HfB2Cl structure. Source: Alexandria, functional PBE.

```
data_HfB2Cl
_symmetry_space_group_name_H-M 'P 1'
_symmetry_Int_Tables_number 1
_cell_length_a 4.293
_cell_length_b 4.293
_cell_length_c 4.293
_cell_angle_alpha 60.00
_cell_angle_beta 60.00
_cell_angle_gamma 60.00
loop_
_symmetry_equiv_pos_as_xyz
'x,y,z'
loop_
_atom_site_label
_atom_site_fract_x
_atom_site_fract_y
_atom_site_fract_z
_atom_site_occupancy
Hf1 0.500 0.500 0.500 1
B1 0.750 0.750 0.750 1
B2 0.250 0.250 0.250 1
Cl1 0.000 0.000 0.000 1
```

Values from the calculation:
Calculated total energy ... -4.92 eV per atom
Uncorrected formation energy ... 1.37 eV/atom
Total moment ... 0.000 μB per formula unit
Density ... 6993 kg/m³
Relative energy among the computed polymorphs ... 106 kJ/mol of formula units

***

4.
A geometry-optimized HfZnHg structure. Source: Alexandria, functional PBE.

```
data_HfZnHg
_symmetry_space_group_name_H-M 'P 1'
_symmetry_Int_Tables_number 1
_cell_length_a 3.146
_cell_length_b 4.584
_cell_length_c 4.584
_cell_angle_alpha 120.00
_cell_angle_beta 90.00
_cell_angle_gamma 90.00
loop_
_symmetry_equiv_pos_as_xyz
'x,y,z'
loop_
_atom_site_label
_atom_site_fract_x
_atom_site_fract_y
_atom_site_fract_z
_atom_site_occupancy
Hg1 0.166 0.000 0.000 1
Hf1 0.667 0.667 0.333 1
Zn1 0.168 0.333 0.667 1
```

Values from the calculation:
Calculated total energy ... -3.91 eV per atom
Total moment ... 0.000 μB per formula unit
Density ... 12896 kg/m³
Energy relative to the elements ... -0.064 eV per atom
Relative energy among the computed polymorphs ... 0 kJ/mol of formula units

***

5.
A geometry-optimized MgHg2As2 structure. Source: Alexandria, functional PBE.

```
data_MgHg2As2
_symmetry_space_group_name_H-M 'P 1'
_symmetry_Int_Tables_number 1
_cell_length_a 3.694
_cell_length_b 3.694
_cell_length_c 9.174
_cell_angle_alpha 78.39
_cell_angle_beta 78.39
_cell_angle_gamma 90.00
loop_
_symmetry_equiv_pos_as_xyz
'x,y,z'
loop_
_atom_site_label
_atom_site_fract_x
_atom_site_fract_y
_atom_site_fract_z
_atom_site_occupancy
Hg1 0.404 0.404 0.193 1
Hg2 0.596 0.596 0.807 1
As1 0.250 0.750 0.500 1
As2 0.750 0.250 0.500 1
Mg1 0.000 0.000 0.000 1
```

Values from the calculation:
Calculated total energy ... -2.20 eV per atom
Total moment ... 0.000 μB per formula unit
Density ... 7962 kg/m³
Energy relative to the elements ... 0.101 eV per atom
Relative energy among the computed polymorphs ... 15 kJ/mol of formula units

***

6.
A geometry-optimized ReTcI2N structure. Source: Alexandria, functional PBE.

```
data_ReTcI2N
_symmetry_space_group_name_H-M 'P 1'
_symmetry_Int_Tables_number 1
_cell_length_a 5.562
_cell_length_b 5.562
_cell_length_c 3.740
_cell_angle_alpha 90.00
_cell_angle_beta 90.00
_cell_angle_gamma 90.00
loop_
_symmetry_equiv_pos_as_xyz
'x,y,z'
loop_
_atom_site_label
_atom_site_fract_x
_atom_site_fract_y
_atom_site_fract_z
_atom_site_occupancy
I1 0.000 0.500 0.000 1
I2 0.500 0.000 0.000 1
N1 0.000 0.000 0.500 1
Tc1 0.000 0.000 0.000 1
Re1 0.500 0.500 0.500 1
```

Values from the calculation:
Calculated total energy ... -5.47 eV per atom
Uncorrected formation energy ... 1.38 eV/atom
Total moment ... 4.270 μB per formula unit
Density ... 7925 kg/m³
Relative energy among the computed polymorphs ... 129 kJ/mol of formula units